Density functional theory data (GGA-PBE) for crystalline NaSnO at its relaxed geometry.

a = 11.1189 Å, b = 3.2717 Å, c = 8.2902 Å
α = 90.00°, β = 127.53°, γ = 90.00°
Last column: nearest neighbours and their distance in Å.
Space group C2/m (No. 12)
One atom of each set of equivalent atoms:
Na1 0.0532 0.0000 0.3338  2 O 2.35
Sn1 0.1955 0.5000 0.1332  3 O 2.16-2.36
O1 0.1378 0.5000 0.8330  3 Sn 2.16-2.36, 2 Na 2.35

Density: 4.38 Mg/m³
DFT total energy: -4.35 eV/atom